(1)
PBE CaBN3, relaxed; formation energy (no corrections) = 0.776 eV/atom
1.0
3.501 0.000 0.000
0.000 3.501 0.000
0.000 0.000 3.501
Ca B N
1 1 3
direct
0.000 0.000 0.000
0.500 0.500 0.500
0.000 0.500 0.500
0.500 0.000 0.500
0.500 0.500 0.000

---

(2)
PBE Rb2MgCuCl6, relaxed; formation energy (no corrections) = -1.423 eV/atom; ΔE to the lowest computed polymorph = 0.033 eV per atom
1.0
-3.682 3.682 4.547
3.682 -3.682 4.547
3.682 3.682 -4.547
Rb Mg Cu Cl
2 1 1 6
direct
0.250 0.750 0.500
0.750 0.250 0.500
0.000 0.000 0.000
0.500 0.500 0.000
0.245 0.245 0.490
0.245 0.755 0.000
0.262 0.262 0.000
0.738 0.738 0.000
0.755 0.245 0.000
0.755 0.755 0.510

---

(3)
PBE BaLiIn, relaxed; ΔE to the lowest computed polymorph = 0.047 eV per atom; ΔH_f (0 K) = -0.2274 eV per atom
1.0
4.000 0.000 0.000
0.000 4.000 0.000
0.000 0.000 12.226
Ba Li In
2 2 2
direct
0.000 0.000 0.000
0.500 0.500 0.500
0.000 0.000 0.715
0.500 0.500 0.215
0.000 0.000 0.304
0.500 0.500 0.804

---

(4)
PBE TlZnSi2, relaxed; formation energy (no corrections) = 0.262 eV/atom; ΔE to the lowest computed polymorph = 0.000 eV per atom
1.0
3.797 0.000 0.000
-1.898 3.288 0.000
0.000 0.000 20.497
Tl Zn Si
3 3 6
direct
0.000 0.000 0.000
0.333 0.667 0.667
0.667 0.333 0.333
0.000 0.000 0.769
0.333 0.667 0.436
0.667 0.333 0.102
0.000 0.000 0.224
0.000 0.000 0.510
0.333 0.667 0.177
0.333 0.667 0.891
0.667 0.333 0.557
0.667 0.333 0.844

---

(5)
# BeZnNiH2

An optimized crystal structure of BeZnNiH2 (PBE, the Alexandria database).

Cell and atoms, written as POSCAR:
```
BeZnNiH2
1.0
3.209 0.000 0.000
0.000 3.209 0.000
0.000 0.000 5.434
Be Zn Ni H
1 1 1 2
direct
0.000 0.000 0.000
0.000 0.000 0.500
0.500 0.500 0.500
0.000 0.500 0.000
0.500 0.000 0.000
```

---

(6)
PBE DyY2Pu, relaxed; ΔE to the lowest computed polymorph = 0.103 eV per atom; ΔH_f (0 K) = 0.2022 eV per atom
1.0
7.929 0.000 0.000
0.000 7.929 0.000
0.000 0.000 7.929
Dy Y Pu
4 8 4
direct
0.000 0.000 0.000
0.000 0.500 0.500
0.500 0.000 0.500
0.500 0.500 0.000
0.250 0.250 0.250
0.250 0.250 0.750
0.250 0.750 0.250
0.250 0.750 0.750
0.750 0.250 0.250
0.750 0.250 0.750
0.750 0.750 0.250
0.750 0.750 0.750
0.000 0.000 0.500
0.000 0.500 0.000
0.500 0.000 0.000
0.500 0.500 0.500

---

Calculated total energy for the records above, in order: -5.955, -3.294, -2.419, -3.359, -2.937, -7.763 eV/atom
Density of states at the Fermi level for the records above, in order: 3.5, 1.3, 1.5, 5.0, 0.9, 42.7 states/eV/cell
Total magnetization for the records above, in order: 0.0, 1.0, 0.0, 0.0, 0.0, 6.9 μB per formula unit